## YS2NF (PBE)

Data for an optimized crystal structure of YS2NF.

a = 5.297 Å, b = 5.297 Å, c = 4.448 Å
α = 90.00°, β = 90.00°, γ = 90.00°
Positions (direct):
Y 0.000 0.000 0.000
S 0.000 0.500 0.000
S 0.500 0.000 0.000
N 0.000 0.000 0.500
F 0.500 0.500 0.500

Calculated values
Relative energy among the computed polymorphs ... 302.9 meV/atom
VASP energy ... -0.1647 hartree per atom
Mass density ... 2.47 g cm⁻³
Energy relative to the elements, uncorrected ... 2.5 eV/f.u.